(1)
DFT (SCAN) results for a PBEsol-optimized structure of TaFeHg2.

It has space group I-4m2 (No. 119), with a = 4.1652 Å, b = 4.1652 Å, c = 7.7942 Å, α = 90.00°, β = 90.00° and γ = 90.00°. The asymmetric unit holds Ta at (0.0000, 0.0000, 0.0000), Fe at (0.0000, 0.5000, 0.2500), Hg at (0.0000, 0.0000, 0.5000) and Hg at (0.0000, 0.5000, 0.7500).

Its calculated formation energy is 488 meV/atom. The calculation puts the energy above the most stable polymorph in this dataset at 0.108 eV/atom.

(2)
DFT (SCAN) results for a PBEsol-optimized structure of TaFeHg2.

It has space group Cmmm (No. 65), with a = 5.7970 Å, b = 8.5416 Å, c = 2.8072 Å, α = 90.00°, β = 90.00° and γ = 90.00°. The asymmetric unit holds Ta at (0.0000, 0.0000, 0.0000), Fe at (0.0000, 0.5000, 0.0000) and Hg at (0.2500, 0.2500, 0.5000).

Its calculated formation energy is 380 meV/atom. The calculation puts the energy above the most stable polymorph in this dataset at 0.000 eV/atom.

(3)
DFT (SCAN) results for a PBEsol-optimized structure of TaFeHg2.

It has space group Immm (No. 71), with a = 3.3420 Å, b = 4.4642 Å, c = 9.1404 Å, α = 90.00°, β = 90.00° and γ = 90.00°. The asymmetric unit holds Ta at (0.0000, 0.0000, 0.0000), Fe at (0.0000, 0.0000, 0.5000) and Hg at (0.0000, 0.5000, 0.2293).

Its calculated formation energy is 453 meV/atom. The calculation puts the energy above the most stable polymorph in this dataset at 0.073 eV/atom.

(4)
DFT (SCAN) results for a PBEsol-optimized structure of Fe2HgTe.

It has space group I-4m2 (No. 119), with a = 3.8715 Å, b = 3.8715 Å, c = 8.9214 Å, α = 90.00°, β = 90.00° and γ = 90.00°. The asymmetric unit holds Fe at (0.0000, 0.0000, 0.0000), Fe at (0.0000, 0.5000, 0.2500), Hg at (0.0000, 0.0000, 0.5000) and Te at (0.0000, 0.5000, 0.7500).

For the formation energy without anion corrections, the calculation gives 535 meV/atom. The calculation puts the energy above the most stable polymorph in this dataset at 0.000 eV/atom.

We obtain theoretical density values of 15.7 15.2 15.5 10.9 g/cm3 for the records listed above, in that order.